No. 1
VASP calculation (PBE) on an optimized crystal structure of Ac3SiGe4.

a = 4.815 Å, b = 6.297 Å, c = 15.381 Å
α = 90.00°, β = 90.00°, γ = 90.00°
Space group Immm (No. 71)
Asymmetric unit:
Ac 0.000 0.000 0.000 [2 per cell]
Ac 0.000 0.500 0.185 [4 per cell]
Si 0.000 0.000 0.500 [2 per cell]
Ge 0.000 0.292 0.382 [8 per cell]

Output
VASP energy, eV for the cell shown: -79.845
ΔE_f (raw), meV per atom: -463

***

No. 2
VASP calculation (PBE) on an optimized crystal structure of Pu2CdBi3.

a = 5.465 Å, b = 6.485 Å, c = 10.645 Å
α = 90.00°, β = 90.00°, γ = 90.00°
Space group Immm (No. 71)
Asymmetric unit:
Pu 0.000 0.000 0.169 [4 per cell]
Cd 0.000 0.000 0.500 [2 per cell]
Bi 0.000 0.500 0.162 [4 per cell]
Bi 0.000 0.500 0.500 [2 per cell]

Output
VASP energy, eV for the cell shown: -83.680
E above lowest polymorph, eV per atom: 0.0298
Energy of formation from the pure elements, eV/atom: -0.1030

***

No. 3
VASP calculation (PBE) on an optimized crystal structure of Al2InAs.

a = 8.832 Å, b = 3.629 Å, c = 5.768 Å
α = 90.00°, β = 109.56°, γ = 90.00°
Space group Cm (No. 8)
Asymmetric unit:
Al 0.000 0.000 0.000 [2 per cell]
Al 0.246 0.000 0.784 [2 per cell]
In 0.269 0.500 0.278 [2 per cell]
As 0.017 0.500 0.653 [2 per cell]

Output
VASP energy, eV for the cell shown: -28.925
E above lowest polymorph, eV per atom: 0.1262
Energy of formation from the pure elements, eV/atom: 0.1027

***

No. 4
VASP calculation (PBE) on an optimized crystal structure of Th6Bi5.

a = 7.853 Å, b = 13.435 Å, c = 7.756 Å
α = 90.00°, β = 110.04°, γ = 90.00°
Space group C2/m (No. 12)
Asymmetric unit:
Th 0.217 0.150 0.221 [8 per cell]
Th 0.220 0.000 0.738 [4 per cell]
Bi 0.000 0.190 0.500 [4 per cell]
Bi 0.000 0.341 0.000 [4 per cell]
Bi 0.000 0.500 0.500 [2 per cell]

Output
VASP energy, eV for the cell shown: -135.674
Energy of formation from the pure elements, eV/atom: -0.3558

***

No. 5
VASP calculation (PBE) on an optimized crystal structure of Sr2Ga3Au6.

a = 8.5769 Å, b = 8.5769 Å, c = 22.2280 Å
α = 90.00°, β = 90.00°, γ = 120.00°
Space group R-3c (No. 167, hexagonal axes)
Asymmetric unit:
Sr 0.0000 0.0000 0.0898 [12 per cell]
Ga 0.0000 0.1916 0.2500 [18 per cell]
Au 0.0150 0.3707 0.3481 [36 per cell]

Output
VASP energy, eV for the cell shown: -230.048
Energy of formation from the pure elements, eV/atom: -0.5666

***

No. 6
VASP calculation (PBE) on an optimized crystal structure of CsIn4Pt4.

a = 9.334 Å, b = 9.334 Å, c = 5.300 Å
α = 90.00°, β = 90.00°, γ = 90.00°
Space group P4_2/n (No. 86, origin choice 2)
Asymmetric unit:
Cs 0.250 0.250 0.250 [2 per cell]
In 0.118 0.629 0.164 [8 per cell]
Pt 0.078 0.920 0.167 [8 per cell]

Output
VASP energy, eV for the cell shown: -78.606
Energy of formation from the pure elements, eV/atom: -0.3703

***

No. 7
VASP calculation (PBE) on an optimized crystal structure of BaSn6Hg2.

a = 9.306 Å, b = 14.881 Å, c = 4.685 Å
α = 90.00°, β = 120.11°, γ = 90.00°
Space group C2/m (No. 12)
Asymmetric unit:
Ba 0.000 0.000 0.000 [2 per cell]
Sn 0.000 0.397 0.500 [4 per cell]
Sn 0.193 0.194 0.694 [8 per cell]
Hg 0.192 0.500 0.191 [4 per cell]

Output
VASP energy, eV for the cell shown: -55.238
E above lowest polymorph, eV per atom: 0.0442
Energy of formation from the pure elements, eV/atom: -0.1195

***

No. 8
VASP calculation (PBE) on an optimized crystal structure of KY2Os.

a = 7.160 Å, b = 7.176 Å, c = 3.906 Å
α = 90.00°, β = 90.00°, γ = 90.00°
Space group Cmmm (No. 65)
Asymmetric unit:
K 0.000 0.000 0.000 [2 per cell]
Y 0.250 0.250 0.500 [4 per cell]
Os 0.000 0.500 0.000 [2 per cell]

Output
VASP energy, eV for the cell shown: -44.836
E above lowest polymorph, eV per atom: 0.7243
Energy of formation from the pure elements, eV/atom: 0.7093

***

No. 9
VASP calculation (PBE) on an optimized crystal structure of Tb2DyHo5Er.

a = 5.548 Å, b = 19.721 Å, c = 10.504 Å
α = 90.00°, β = 90.00°, γ = 90.00°
Space group Cmc2_1 (No. 36)
Asymmetric unit:
Tb 0.000 0.110 0.000 [4 per cell]
Tb 0.000 0.114 0.582 [4 per cell]
Dy 0.000 0.200 0.275 [4 per cell]
Ho 0.000 0.018 0.287 [4 per cell]
Ho 0.000 0.281 0.572 [4 per cell]
Ho 0.000 0.300 0.972 [4 per cell]
Ho 0.000 0.389 0.286 [4 per cell]
Ho 0.000 0.480 0.003 [4 per cell]
Er 0.000 0.413 0.722 [4 per cell]

Output
VASP energy, eV for the cell shown: -159.777
Energy of formation from the pure elements, eV/atom: 0.1522

***

No. 10
VASP calculation (PBE) on an optimized crystal structure of CeSmTlO2.

a = 3.975 Å, b = 3.975 Å, c = 13.583 Å
α = 90.00°, β = 90.00°, γ = 90.00°
Space group I4mm (No. 107)
Asymmetric unit:
Ce 0.000 0.000 0.000 [2 per cell]
Sm 0.000 0.000 0.672 [2 per cell]
Tl 0.000 0.000 0.341 [2 per cell]
O 0.000 0.500 0.084 [4 per cell]

Output
VASP energy, eV for the cell shown: -69.847
ΔE_f (raw), meV per atom: -2398

***

No. 11
VASP calculation (PBE) on an optimized crystal structure of Hg6BiSb4Br7.

a = 13.365 Å, b = 13.365 Å, c = 13.365 Å
α = 90.00°, β = 90.00°, γ = 90.00°
Space group Pa-3 (No. 205)
Asymmetric unit:
Hg 0.054 0.184 0.701 [24 per cell]
Bi 0.000 0.000 0.000 [4 per cell]
Sb 0.134 0.634 0.866 [8 per cell]
Sb 0.240 0.240 0.240 [8 per cell]
Br 0.000 0.000 0.500 [4 per cell]
Br 0.045 0.552 0.294 [24 per cell]

Output
VASP energy, eV for the cell shown: -162.086
ΔE_f (raw), meV per atom: -368

***

No. 12
VASP calculation (PBE) on an optimized crystal structure of Tl2IBr.

a = 5.875 Å, b = 5.875 Å, c = 4.180 Å
α = 90.00°, β = 90.00°, γ = 90.00°
Space group P4/mmm (No. 123)
Asymmetric unit:
Tl 0.000 0.500 0.000 [2 per cell]
I 0.000 0.000 0.500 [1 per cell]
Br 0.500 0.500 0.500 [1 per cell]

Output
VASP energy, eV for the cell shown: -10.775
ΔE_f (raw), meV per atom: -705
E above lowest polymorph, eV per atom: 0.0571

***

No. 13
VASP calculation (PBE) on an optimized crystal structure of Na2Cd5Au4.

a = 5.507 Å, b = 6.932 Å, c = 7.306 Å
α = 77.21°, β = 68.11°, γ = 68.63°
Space group P-1 (No. 2)
Asymmetric unit:
Na 0.182 0.300 0.327 [2 per cell]
Cd 0.251 0.576 0.920 [2 per cell]
Cd 0.279 0.103 0.876 [2 per cell]
Cd 0.500 0.500 0.500 [1 per cell]
Au 0.233 0.780 0.224 [2 per cell]
Au 0.259 0.908 0.582 [2 per cell]

Output
VASP energy, eV for the cell shown: -22.528
E above lowest polymorph, eV per atom: 0.0021
Energy of formation from the pure elements, eV/atom: -0.2004

***

No. 14
VASP calculation (PBE) on an optimized crystal structure of Ca2MnSb.

a = 4.425 Å, b = 4.452 Å, c = 11.752 Å
α = 90.00°, β = 90.00°, γ = 90.00°
Space group Amm2 (No. 38)
Asymmetric unit:
Ca 0.000 0.000 0.000 [2 per cell]
Ca 0.500 0.000 0.290 [2 per cell]
Mn 0.000 0.000 0.713 [2 per cell]
Sb 0.500 0.000 0.575 [2 per cell]

Output
VASP energy, eV for the cell shown: -37.085
ΔE_f (raw), meV per atom: -312

***

No. 15
VASP calculation (PBE) on an optimized crystal structure of BeSn2Pb2.

a = 6.675 Å, b = 6.675 Å, c = 6.017 Å
α = 90.00°, β = 90.00°, γ = 90.00°
Space group P4/mbm (No. 127)
Asymmetric unit:
Be 0.000 0.000 0.000 [2 per cell]
Sn 0.157 0.343 0.000 [4 per cell]
Pb 0.193 0.693 0.500 [4 per cell]

Output
VASP energy, eV for the cell shown: -35.828
E above lowest polymorph, eV per atom: 0.0000
Energy of formation from the pure elements, eV/atom: 0.2469

***

No. 16
VASP calculation (PBE) on an optimized crystal structure of Zr2ScRh.

a = 3.364 Å, b = 3.364 Å, c = 7.292 Å
α = 90.00°, β = 90.00°, γ = 90.00°
Space group P4/mmm (No. 123)
Asymmetric unit:
Zr 0.000 0.000 0.217 [2 per cell]
Sc 0.500 0.500 0.500 [1 per cell]
Rh 0.500 0.500 0.000 [1 per cell]

Output
VASP energy, eV for the cell shown: -32.096
Energy of formation from the pure elements, eV/atom: -0.3292

***

No. 17
VASP calculation (PBE) on an optimized crystal structure of TmNi2P.

a = 3.689 Å, b = 3.689 Å, c = 8.748 Å
α = 90.00°, β = 90.00°, γ = 90.00°
Space group P4/nmm (No. 129, origin choice 2)
Asymmetric unit:
Tm 0.250 0.250 0.224 [2 per cell]
Ni 0.250 0.250 0.915 [2 per cell]
Ni 0.250 0.750 0.500 [2 per cell]
P 0.250 0.250 0.654 [2 per cell]

Output
VASP energy, eV for the cell shown: -49.226
Energy of formation from the pure elements, eV/atom: -0.7922

***

No. 18
VASP calculation (PBE) on an optimized crystal structure of RbCdO3.

a = 4.303 Å, b = 4.303 Å, c = 4.303 Å
α = 90.00°, β = 90.00°, γ = 90.00°
Space group Pm-3m (No. 221)
Asymmetric unit:
Rb 0.000 0.000 0.000 [1 per cell]
Cd 0.500 0.500 0.500 [1 per cell]
O 0.000 0.500 0.500 [3 per cell]

Output
VASP energy, eV for the cell shown: -18.190
ΔE_f (raw), meV per atom: -287

***

No. 19
VASP calculation (PBE) on an optimized crystal structure of YZrCoTc.

a = 6.624 Å, b = 6.624 Å, c = 6.624 Å
α = 90.00°, β = 90.00°, γ = 90.00°
Space group F-43m (No. 216)
Asymmetric unit:
Y 0.000 0.000 0.000 [4 per cell]
Zr 0.000 0.000 0.500 [4 per cell]
Co 0.250 0.250 0.750 [4 per cell]
Tc 0.250 0.250 0.250 [4 per cell]

Output
VASP energy, eV for the cell shown: -131.960
Energy of formation from the pure elements, eV/atom: -0.1265

***

No. 20
VASP calculation (PBE) on an optimized crystal structure of Ba4HgO.

a = 7.151 Å, b = 11.023 Å, c = 7.159 Å
α = 90.00°, β = 96.92°, γ = 90.00°
Space group P2_1/m (No. 11)
Asymmetric unit:
Ba 0.167 0.250 0.287 [2 per cell]
Ba 0.213 0.750 0.334 [2 per cell]
Ba 0.280 0.054 0.780 [4 per cell]
Hg 0.382 0.750 0.884 [2 per cell]
O 0.137 0.250 0.636 [2 per cell]

Output
VASP energy, eV for the cell shown: -37.727
ΔE_f (raw), meV per atom: -985